VASP calculation (SCAN) on Ba2ZnS3 at its PBEsol-relaxed geometry.

Unit cell a=8.7438 b=4.2262 c=16.8876 alpha=90.00 beta=90.00 gamma=90.00
Space group Pnma (No. 62)
Symmetry-distinct sites (fractional):
1 Ba 0.0822 0.2500 0.2127 x4
2 Ba 0.2480 0.2500 0.9555 x4
3 Zn 0.1351 0.2500 0.6347 x4
4 S 0.0084 0.7500 0.6016 x4
5 S 0.1281 0.7500 0.0716 x4
6 S 0.1799 0.2500 0.7715 x4

Calculated values
- formation energy without anion corrections (eV/atom) = -1.900